No. 1
DFT (PBE) results for a geometry-optimized MgRuBr4 structure.

Structure (POSCAR):
```
MgRuBr4
1.0
0.000 4.382 4.382
4.382 0.000 4.382
4.382 4.382 0.000
Br Ru Mg
4 1 1
direct
0.876 0.375 0.375
0.375 0.375 0.876
0.375 0.876 0.375
0.375 0.375 0.375
0.000 0.000 0.000
0.750 0.750 0.750
```

Computed properties:
* space-group type: F-43m (216)
* uncorrected energy: -11.57 eV for the cell shown
* uncorrected formation energy: 0.999 eV per atom
* total magnetic moment: 1.9 μB/f.u.

No. 2
DFT (PBE) results for a geometry-optimized MgRuBr structure.

Structure (POSCAR):
```
MgRuBr
1.0
-0.198 1.224 3.040
-1.087 -3.035 -0.622
5.573 -2.256 1.272
Mg Ru Br
1 1 1
direct
0.667 0.333 0.344
0.333 0.667 0.664
0.000 0.000 0.992
```

Computed properties:
* space-group type: P3m1 (156)
* uncorrected energy: -11.83 eV for the cell shown
* uncorrected formation energy: 0.236 eV per atom
* total magnetic moment: 1.7 μB/f.u.

No. 3
DFT (PBE) results for a geometry-optimized MgRuBr2 structure.

Structure (POSCAR):
```
MgRuBr2
1.0
-4.479 -6.446 -3.547
-1.557 -8.471 -0.089
1.055 7.900 3.268
Mg Br Ru
1 2 1
direct
0.431 0.431 0.000
0.015 0.015 0.000
0.756 0.256 0.500
0.297 0.797 0.500
```

Computed properties:
* space-group type: Imm2 (44)
* uncorrected energy: -14.58 eV for the cell shown
* uncorrected formation energy: -0.090 eV per atom
* total magnetic moment: 0.0 μB/f.u.

No. 4
DFT (PBE) results for a geometry-optimized MgRuBr2 structure.

Structure (POSCAR):
```
MgRuBr2
1.0
6.466 -0.001 0.000
4.220 4.899 0.000
-5.343 -2.449 2.695
Br Mg Ru
2 1 1
direct
0.000 0.000 0.000
0.250 0.750 0.500
0.500 0.500 0.000
0.750 0.250 0.500
```

Computed properties:
* space-group type: I-4m2 (119)
* uncorrected energy: -13.05 eV for the cell shown
* uncorrected formation energy: 0.293 eV per atom
* total magnetic moment: 1.5 μB/f.u.

No. 5
DFT (PBE) results for a geometry-optimized MgRu3Br structure.

Structure (POSCAR):
```
MgRu3Br
1.0
-4.594 0.395 -1.093
-1.013 -3.544 2.978
-0.569 3.120 3.521
Ru Mg Br
3 1 1
direct
0.500 0.000 0.000
0.000 0.500 0.000
0.000 0.000 0.500
0.000 0.000 0.000
0.500 0.500 0.500
```

Computed properties:
* space-group type: Pm-3m (221)
* uncorrected energy: -21.39 eV for the cell shown
* uncorrected formation energy: 1.940 eV per atom
* total magnetic moment: 6.9 μB/f.u.

No. 6
DFT (PBE) results for a geometry-optimized MgRuBr2 structure.

Structure (POSCAR):
```
MgRuBr2
1.0
0.000 3.418 3.418
3.418 0.000 3.418
3.418 3.418 0.000
Br Ru Mg
2 1 1
direct
0.750 0.750 0.750
0.250 0.250 0.250
0.500 0.500 0.500
0.000 0.000 0.000
```

Computed properties:
* space-group type: Fm-3m (225)
* uncorrected energy: -13.25 eV for the cell shown
* uncorrected formation energy: 0.241 eV per atom
* total magnetic moment: 2.1 μB/f.u.